Model a:
# PBE-GGA Hf2Re2H, optimized geometry
data_Hf2Re2H
_cell_length_a 5.743
_cell_length_b 5.743
_cell_length_c 4.821
_cell_angle_alpha 90.00
_cell_angle_beta 90.00
_cell_angle_gamma 90.00
_space_group_name_H-M_alt 'P 4/m b m'
_space_group_IT_number 127
_space_group_name_Hall '-P 4 2ab'
loop_
_atom_site_label
_atom_site_type_symbol
_atom_site_fract_x
_atom_site_fract_y
_atom_site_fract_z
_atom_site_occupancy
Hf1 Hf 0.173 0.327 0.000 1
Re1 Re 0.150 0.650 0.500 1
H1 H 0.000 0.000 0.000 1
# volume = 159.0 Å³/cell
# DOS(E_F) = 9.4 states/eV per cell
# crystal system = tetragonal



Model b:
# PBE-GGA Hf2Re2H, optimized geometry
data_Hf2Re2H
_cell_length_a 3.539
_cell_length_b 3.539
_cell_length_c 14.693
_cell_angle_alpha 90.00
_cell_angle_beta 90.00
_cell_angle_gamma 90.00
_space_group_name_H-M_alt 'I 4/m m m'
_space_group_IT_number 139
_space_group_name_Hall '-I 4 2'
loop_
_atom_site_label
_atom_site_type_symbol
_atom_site_fract_x
_atom_site_fract_y
_atom_site_fract_z
_atom_site_occupancy
Hf1 Hf 0.000 0.000 0.097 1
Re1 Re 0.000 0.500 0.250 1
H1 H 0.000 0.000 0.500 1
# volume = 184.1 Å³/cell
# DOS(E_F) = 6.5 states/eV per cell
# crystal system = tetragonal



Which of them is the least stable? Correct choice: model b.



Model a:
# PBE-GGA Hf2ReH2, optimized geometry
data_Hf2ReH2
_cell_length_a 3.207
_cell_length_b 3.207
_cell_length_c 6.364
_cell_angle_alpha 90.00
_cell_angle_beta 90.00
_cell_angle_gamma 90.00
_space_group_name_H-M_alt 'P 4/m m m'
_space_group_IT_number 123
_space_group_name_Hall '-P 4 2'
loop_
_atom_site_label
_atom_site_type_symbol
_atom_site_fract_x
_atom_site_fract_y
_atom_site_fract_z
_atom_site_occupancy
Hf1 Hf 0.000 0.000 0.244 1
Re1 Re 0.500 0.500 0.500 1
H1 H 0.000 0.500 0.000 1
# volume = 65.5 Å³/cell
# DOS(E_F) = 2.4 states/eV per cell
# crystal system = tetragonal



Model b:
# PBE-GGA Hf2ReH2, optimized geometry
data_Hf2ReH2
_cell_length_a 3.277
_cell_length_b 3.277
_cell_length_c 11.615
_cell_angle_alpha 90.00
_cell_angle_beta 90.00
_cell_angle_gamma 90.00
_space_group_name_H-M_alt 'I 4/m m m'
_space_group_IT_number 139
_space_group_name_Hall '-I 4 2'
loop_
_atom_site_label
_atom_site_type_symbol
_atom_site_fract_x
_atom_site_fract_y
_atom_site_fract_z
_atom_site_occupancy
Hf1 Hf 0.000 0.000 0.138 1
Re1 Re 0.000 0.000 0.500 1
H1 H 0.000 0.500 0.250 1
# volume = 124.8 Å³/cell
# DOS(E_F) = 2.4 states/eV per cell
# crystal system = tetragonal



Which of them is the least stable? Correct choice: model a.



Model a:
# PBE-GGA Hf3ReH, optimized geometry
data_Hf3ReH
_cell_length_a 5.068
_cell_length_b 5.068
_cell_length_c 5.068
_cell_angle_alpha 90.00
_cell_angle_beta 90.00
_cell_angle_gamma 90.00
_space_group_name_H-M_alt 'P m -3 m'
_space_group_IT_number 221
_space_group_name_Hall '-P 4 2 3'
loop_
_atom_site_label
_atom_site_type_symbol
_atom_site_fract_x
_atom_site_fract_y
_atom_site_fract_z
_atom_site_occupancy
Hf1 Hf 0.000 0.000 0.500 1
Re1 Re 0.000 0.000 0.000 1
H1 H 0.500 0.500 0.500 1
# volume = 130.1 Å³/cell
# DOS(E_F) = 6.0 states/eV per cell
# crystal system = cubic



Model b:
# PBE-GGA Hf3ReH, optimized geometry
data_Hf3ReH
_cell_length_a 4.328
_cell_length_b 4.328
_cell_length_c 4.328
_cell_angle_alpha 90.00
_cell_angle_beta 90.00
_cell_angle_gamma 90.00
_space_group_name_H-M_alt 'P m -3 m'
_space_group_IT_number 221
_space_group_name_Hall '-P 4 2 3'
loop_
_atom_site_label
_atom_site_type_symbol
_atom_site_fract_x
_atom_site_fract_y
_atom_site_fract_z
_atom_site_occupancy
Hf1 Hf 0.000 0.000 0.500 1
Re1 Re 0.500 0.500 0.500 1
H1 H 0.000 0.000 0.000 1
# volume = 81.1 Å³/cell
# DOS(E_F) = 5.2 states/eV per cell
# crystal system = cubic



Which of them is the least stable? Correct choice: model a.



Model a:
# PBE-GGA HfHRh, optimized geometry
data_HfHRh
_cell_length_a 3.227
_cell_length_b 3.227
_cell_length_c 7.367
_cell_angle_alpha 90.00
_cell_angle_beta 90.00
_cell_angle_gamma 90.00
_space_group_name_H-M_alt 'P 4/n m m'
_space_group_IT_number 129
loop_
_space_group_symop_operation_xyz
'x,y,z'
'-x,-y,-z'
'-y+1/2,x,z'
'y+1/2,-x,-z'
'-x+1/2,-y+1/2,z'
'x+1/2,y+1/2,-z'
'y,-x+1/2,z'
'-y,x+1/2,-z'
'x+1/2,-y,-z'
'-x+1/2,y,z'
'-y,-x,-z'
'y,x,z'
'-x,y+1/2,-z'
'x,-y+1/2,z'
'y+1/2,x+1/2,-z'
'-y+1/2,-x+1/2,z'
loop_
_atom_site_label
_atom_site_type_symbol
_atom_site_fract_x
_atom_site_fract_y
_atom_site_fract_z
_atom_site_occupancy
Hf1 Hf 0.250 0.250 0.183 1
H1 H 0.250 0.750 0.000 1
Rh1 Rh 0.250 0.250 0.625 1
# volume = 76.7 Å³/cell
# DOS(E_F) = 3.0 states/eV per cell
# crystal system = tetragonal



Model b:
# PBE-GGA HfHRh, optimized geometry
data_HfHRh
_cell_length_a 3.8619
_cell_length_b 3.8619
_cell_length_c 3.1174
_cell_angle_alpha 90.00
_cell_angle_beta 90.00
_cell_angle_gamma 120.00
_space_group_name_H-M_alt 'P 3 m 1'
_space_group_IT_number 156
_space_group_name_Hall 'P 3 -2"'
loop_
_atom_site_label
_atom_site_type_symbol
_atom_site_fract_x
_atom_site_fract_y
_atom_site_fract_z
_atom_site_occupancy
Hf1 Hf 0.0000 0.0000 0.0000 1
H1 H 0.3333 0.6667 0.5020 1
Rh1 Rh 0.6667 0.3333 0.5003 1
# volume = 40.3 Å³/cell
# DOS(E_F) = 0.5 states/eV per cell
# crystal system = trigonal



Which of them is the least stable? Correct choice: model b.



Model a:
# PBE-GGA HfHRu2Rh, optimized geometry
data_HfHRu2Rh
_cell_length_a 3.974
_cell_length_b 3.974
_cell_length_c 4.022
_cell_angle_alpha 90.00
_cell_angle_beta 90.00
_cell_angle_gamma 90.00
_space_group_name_H-M_alt 'P 4/m m m'
_space_group_IT_number 123
_space_group_name_Hall '-P 4 2'
loop_
_atom_site_label
_atom_site_type_symbol
_atom_site_fract_x
_atom_site_fract_y
_atom_site_fract_z
_atom_site_occupancy
Hf1 Hf 0.000 0.000 0.000 1
H1 H 0.500 0.500 0.500 1
Ru1 Ru 0.000 0.500 0.500 1
Rh1 Rh 0.500 0.500 0.000 1
# volume = 63.5 Å³/cell
# DOS(E_F) = 5.8 states/eV per cell
# crystal system = tetragonal



Model b:
# PBE-GGA HfHRu2Rh, optimized geometry
data_HfHRu2Rh
_cell_length_a 3.905
_cell_length_b 3.905
_cell_length_c 4.177
_cell_angle_alpha 90.00
_cell_angle_beta 90.00
_cell_angle_gamma 90.00
_space_group_name_H-M_alt 'P 4/m m m'
_space_group_IT_number 123
_space_group_name_Hall '-P 4 2'
loop_
_atom_site_label
_atom_site_type_symbol
_atom_site_fract_x
_atom_site_fract_y
_atom_site_fract_z
_atom_site_occupancy
Hf1 Hf 0.000 0.000 0.000 1
H1 H 0.000 0.000 0.500 1
Ru1 Ru 0.000 0.500 0.500 1
Rh1 Rh 0.500 0.500 0.000 1
# volume = 63.7 Å³/cell
# DOS(E_F) = 3.7 states/eV per cell
# crystal system = tetragonal



Which of them is the least stable? Correct choice: model b.



Model a:
# PBE-GGA Hf2HRuRh, optimized geometry
data_Hf2HRuRh
_cell_length_a 4.478
_cell_length_b 4.478
_cell_length_c 3.576
_cell_angle_alpha 90.00
_cell_angle_beta 90.00
_cell_angle_gamma 90.00
_space_group_name_H-M_alt 'P 4/m m m'
_space_group_IT_number 123
_space_group_name_Hall '-P 4 2'
loop_
_atom_site_label
_atom_site_type_symbol
_atom_site_fract_x
_atom_site_fract_y
_atom_site_fract_z
_atom_site_occupancy
Hf1 Hf 0.000 0.500 0.000 1
H1 H 0.000 0.000 0.000 1
Ru1 Ru 0.500 0.500 0.500 1
Rh1 Rh 0.000 0.000 0.500 1
# volume = 71.7 Å³/cell
# DOS(E_F) = 4.0 states/eV per cell
# crystal system = tetragonal



Model b:
# PBE-GGA Hf2HRuRh, optimized geometry
data_Hf2HRuRh
_cell_length_a 4.471
_cell_length_b 4.471
_cell_length_c 3.589
_cell_angle_alpha 90.00
_cell_angle_beta 90.00
_cell_angle_gamma 90.00
_space_group_name_H-M_alt 'P 4/m m m'
_space_group_IT_number 123
_space_group_name_Hall '-P 4 2'
loop_
_atom_site_label
_atom_site_type_symbol
_atom_site_fract_x
_atom_site_fract_y
_atom_site_fract_z
_atom_site_occupancy
Hf1 Hf 0.000 0.500 0.000 1
H1 H 0.000 0.000 0.000 1
Ru1 Ru 0.000 0.000 0.500 1
Rh1 Rh 0.500 0.500 0.500 1
# volume = 71.7 Å³/cell
# DOS(E_F) = 3.1 states/eV per cell
# crystal system = tetragonal



Which of them is the least stable? Correct choice: model a.